Crystalline Ga2Ir2Pt at its relaxed geometry, computed with PBE.

Calculated values
Formation energy from the elements (kJ/mol of formula units): -118
Calculated density (kg/m3): 15631

Unit cell a=7.252 b=7.252 c=2.904 alpha=90.00 beta=90.00 gamma=90.00
Fractional positions:
Ir  0.362  0.862  0.000
Ir  0.862  0.638  0.000
Ir  0.638  0.138  0.000
Ir  0.138  0.362  0.000
Ga  0.162  0.662  0.500
Ga  0.662  0.838  0.500
Ga  0.838  0.338  0.500
Ga  0.338  0.162  0.500
Pt  0.000  0.000  0.000
Pt  0.500  0.500  0.000

***

Crystalline Ga5IrPt2 at its relaxed geometry, computed with PBE.

Calculated values
Formation energy from the elements (kJ/mol of formula units): -254
Calculated density (kg/m3): 8966

Unit cell a=4.778 b=6.132 c=12.780 alpha=90.00 beta=90.00 gamma=112.93
Fractional positions:
Ga  0.967  0.934  0.886
Ga  0.967  0.934  0.614
Ga  0.326  0.652  0.398
Ga  0.326  0.652  0.102
Ga  0.713  0.426  0.250
Ga  0.287  0.574  0.750
Ga  0.674  0.348  0.602
Ga  0.674  0.348  0.898
Ga  0.033  0.066  0.114
Ga  0.033  0.066  0.386
Ir  0.817  0.635  0.750
Ir  0.183  0.365  0.250
Pt  0.830  0.659  0.453
Pt  0.830  0.659  0.047
Pt  0.170  0.341  0.547
Pt  0.170  0.341  0.953

***

Crystalline Ga8Ir2Pt at its relaxed geometry, computed with PBE.

Calculated values
Formation energy from the elements (kJ/mol of formula units): -311
Calculated density (kg/m3): 10158

Unit cell a=2.983 b=9.658 c=10.582 alpha=141.26 beta=98.10 gamma=90.00
Fractional positions:
Ir  0.224  0.744  0.448
Ir  0.776  0.256  0.552
Pt  0.500  0.000  0.000
Ga  0.653  0.827  0.307
Ga  0.337  0.568  0.674
Ga  0.121  0.060  0.242
Ga  0.024  0.394  0.048
Ga  0.879  0.940  0.758
Ga  0.663  0.432  0.326
Ga  0.347  0.173  0.693
Ga  0.976  0.606  0.952

***

Crystalline Ga4IrPt2 at its relaxed geometry, computed with PBE.

Calculated values
Formation energy from the elements (kJ/mol of formula units): -307
Calculated density (kg/m3): 11354

Unit cell a=3.551 b=6.181 c=6.557 alpha=113.62 beta=105.71 gamma=90.00
Fractional positions:
Ga  0.856  0.180  0.711
Ga  0.144  0.820  0.289
Ga  0.586  0.311  0.173
Ga  0.414  0.689  0.827
Ir  0.000  0.000  0.000
Pt  0.753  0.707  0.506
Pt  0.247  0.293  0.494

***

Crystalline Ga4Ir3Pt at its relaxed geometry, computed with PBE.

Calculated values
Formation energy from the elements (kJ/mol of formula units): -328
Calculated density (kg/m3): 14938

Unit cell a=2.937 b=2.937 c=13.540 alpha=90.00 beta=90.00 gamma=90.00
Fractional positions:
Ir  0.500  0.500  0.255
Ir  0.500  0.500  0.500
Ir  0.500  0.500  0.745
Pt  0.500  0.500  0.000
Ga  0.000  0.000  0.866
Ga  0.000  0.000  0.134
Ga  0.000  0.000  0.379
Ga  0.000  0.000  0.621

***

Crystalline PuGa4IrPt2 at its relaxed geometry, computed with PBE.

Calculated values
Formation energy from the elements (kJ/mol of formula units): -409
Calculated density (kg/m3): 13165

Unit cell a=4.289 b=4.289 c=9.095 alpha=76.36 beta=76.36 gamma=60.00
Last column: magnetic moment on the atom in μB.
Fractional positions:
Pu  0.000  0.000  0.000  5.18
Ga  0.398  0.398  0.807  -0.02
Ga  0.868  0.868  0.395  -0.01
Ga  0.132  0.132  0.605  -0.01
Ga  0.602  0.602  0.193  -0.02
Ir  0.500  0.500  0.500  -0.13
Pt  0.763  0.763  0.711  -0.07
Pt  0.237  0.237  0.289  -0.07

***

Crystalline ScGaIr2Pt at its relaxed geometry, computed with PBE.

Calculated values
Formation energy from the elements (kJ/mol of formula units): 634
Calculated density (kg/m3): 11101

Unit cell a=4.633 b=4.838 c=4.633 alpha=90.00 beta=90.00 gamma=90.00
Fractional positions:
Sc  0.000  0.000  0.000
Ir  0.000  0.000  0.500
Ir  0.500  0.000  0.000
Ga  0.000  0.500  0.000
Pt  0.500  0.500  0.500

***

Crystalline SmGa2IrPt2 at its relaxed geometry, computed with PBE.

Calculated values
Formation energy from the elements (kJ/mol of formula units): -276
Calculated density (kg/m3): 11861

Unit cell a=4.703 b=4.703 c=5.522 alpha=90.00 beta=90.00 gamma=90.00
Fractional positions:
Sm  0.000  0.000  0.500
Ga  0.500  0.000  0.000
Ga  0.000  0.500  0.000
Ir  0.000  0.000  0.000
Pt  0.500  0.500  0.740
Pt  0.500  0.500  0.260

***

For the records above, the corresponding final energy values read -6.2081; -4.8382; -4.6543; -5.1762; -6.0165; -6.4520; -5.3098; -5.7618 eV/atom.